# 1
## MgPd2Au2 (PBE)

Data for crystalline MgPd2Au2 at its relaxed geometry.

Computed properties:
As for the energy relative to the elements: -261 meV per atom.

Unit cell a=6.7727 b=6.7727 c=3.9280 alpha=90.00 beta=90.00 gamma=90.00
With the nearest neighbours (Å) after each atom.
Fractional positions:
Pd  0.3598  0.8598  0.0000  2 Mg 2.62, 1 Pd 2.69, 6 Au 2.74-2.83
Pd  0.8598  0.6402  0.0000  2 Mg 2.62, 1 Pd 2.69, 6 Au 2.74-2.83
Pd  0.6402  0.1402  0.0000  2 Mg 2.62, 1 Pd 2.69, 6 Au 2.74-2.83
Pd  0.1402  0.3598  0.0000  2 Mg 2.62, 1 Pd 2.69, 6 Au 2.74-2.83
Au  0.1599  0.6599  0.5000  6 Pd 2.74-2.83, 1 Au 3.06
Au  0.6599  0.8401  0.5000  6 Pd 2.74-2.83, 1 Au 3.06
Au  0.8401  0.3401  0.5000  6 Pd 2.74-2.83, 1 Au 3.06
Au  0.3401  0.1599  0.5000  6 Pd 2.74-2.83, 1 Au 3.06
Mg  0.0000  0.0000  0.0000  4 Pd 2.62
Mg  0.5000  0.5000  0.0000  4 Pd 2.62

# 2
## Mg2Pd3Au5 (PBE)

Data for crystalline Mg2Pd3Au5 at its relaxed geometry.

Computed properties:
As for the energy relative to the elements: -119 meV per atom.

Unit cell a=5.3474 b=8.9750 c=8.9750 alpha=96.44 beta=72.67 gamma=72.67
With the nearest neighbours (Å) after each atom.
Fractional positions:
Pd  0.2500  0.0000  0.0000  2 Au 2.64, 2 Pd 2.67, 4 Mg 2.71
Pd  0.7500  0.0000  0.0000  2 Au 2.64, 2 Pd 2.67, 4 Mg 2.71
Pd  0.6118  0.6419  0.1345  3 Mg 2.79-2.98, 4 Au 2.92-2.95
Pd  0.3882  0.3581  0.8655  3 Mg 2.79-2.98, 4 Au 2.92-2.95
Pd  0.8882  0.8655  0.3581  3 Mg 2.79-2.98, 4 Au 2.92-2.95
Pd  0.1118  0.1345  0.6419  3 Mg 2.79-2.98, 4 Au 2.92-2.95
Au  0.9971  0.7529  0.7529  1 Pd 2.64, 5 Au 2.67-2.84, 2 Mg 2.76
Au  0.7500  0.5000  0.5000  8 Au 2.67-2.93
Au  0.5029  0.2471  0.2471  1 Pd 2.64, 5 Au 2.67-2.84, 2 Mg 2.76
Au  0.1359  0.5262  0.2021  1 Mg 2.55, 2 Au 2.84
Au  0.8641  0.4738  0.7979  1 Mg 2.55, 2 Au 2.84
Au  0.6359  0.2021  0.5262  1 Mg 2.55, 2 Au 2.84
Au  0.4971  0.7529  0.7529  1 Pd 2.64, 5 Au 2.67-2.84, 2 Mg 2.76
Au  0.2500  0.5000  0.5000  8 Au 2.67-2.93
Au  0.3641  0.7979  0.4738  1 Mg 2.55, 2 Au 2.84
Au  0.0029  0.2471  0.2471  1 Pd 2.64, 5 Au 2.67-2.84, 2 Mg 2.76
Mg  0.3820  0.9697  0.2663  3 Au 2.55-2.76, 3 Pd 2.71-2.79
Mg  0.6180  0.0303  0.7337  3 Au 2.55-2.76, 3 Pd 2.71-2.79
Mg  0.8820  0.2663  0.9697  3 Au 2.55-2.76, 3 Pd 2.71-2.79
Mg  0.1180  0.7337  0.0303  3 Au 2.55-2.76, 3 Pd 2.71-2.79